Computed, not measured: an optimized crystal structure of KGa2ReGe at the PBE level of DFT.

For the density of states at the Fermi level, the calculation gives 0.68 states/eV/cell. The value obtained for the calculated volume is 23.8 Å³/atom. Its formation energy is -111 meV/atom.

The space group is P4/mmm (No. 123) and the conventional cell measures 4.9631, 4.9631 and 4.8386 Å, with angles of 90.00, 90.00 and 90.00 degrees. The asymmetric unit holds K at (0.0000, 0.0000, 0.0000), Ga at (0.0000, 0.5000, 0.5000), Re at (0.5000, 0.5000, 0.5000) and Ge at (0.5000, 0.5000, 0.0000).